Here is a relaxed Sr2HfNbO6 crystal from the Alexandria database. Energies are from PBEsol.

Geometry as extended XYZ:
```
10
Lattice="0.000 4.071 4.071 4.071 0.000 4.071 4.071 4.071 0.000" Properties=species:S:1:pos:R:3 pbc="T T T"
Sr 2.036 2.036 2.036
Sr 6.107 6.107 6.107
Hf 0.000 0.000 0.000
Nb 4.071 4.071 4.071
O 4.071 4.071 2.049
O 4.071 2.049 4.071
O 6.094 4.071 4.071
O 2.049 4.071 4.071
O 4.071 6.094 4.071
O 4.071 4.071 6.094
```

Summary:
Electronic total energy (eV per atom): -8.722
Space-group type: Fm-3m (225)
E_form (uncorrected) (eV/atom): -3.07